Crystalline LaHoTl4 at its relaxed geometry, computed with GGA-PBE.

Theoretical density ... 10.70 Mg/m³
Calculated formation energy ... -11 kJ/mol of atoms
Magnetization ... 0.00 Bohr magnetons per cell

Lattice parameters (Å, degrees): 6.2670 6.2670 6.2670 60.00 60.00 60.00
Atoms (fractional coordinates):
La 0.2500 0.2500 0.2500
Tl 0.1247 0.6251 0.6251
Tl 0.6251 0.6251 0.1247
Tl 0.6251 0.6251 0.6251
Tl 0.6251 0.1247 0.6251
Ho 0.0000 0.0000 0.0000


Crystalline LaHo2Tl4 at its relaxed geometry, computed with GGA-PBE.

Theoretical density ... 9.90 Mg/m³
Calculated formation energy ... -21 kJ/mol of atoms
Magnetization ... 0.00 Bohr magnetons per cell

Lattice parameters (Å, degrees): 5.2754 5.2754 7.7555 90.00 90.00 90.00
Atoms (fractional coordinates):
Ho 0.5000 0.5000 0.5000
Ho 0.0000 0.0000 0.0000
Tl 0.0000 0.5000 0.7241
Tl 0.5000 0.0000 0.2759
Tl 0.0000 0.5000 0.2759
Tl 0.5000 0.0000 0.7241
La 0.5000 0.5000 0.0000


Crystalline LaHoTl2 at its relaxed geometry, computed with GGA-PBE.

Theoretical density ... 10.15 Mg/m³
Calculated formation energy ... -37 kJ/mol of atoms
Magnetization ... 0.00 Bohr magnetons per cell

Lattice parameters (Å, degrees): 3.8384 3.8384 7.9116 90.00 90.00 90.00
Atoms (fractional coordinates):
Tl 0.0000 0.0000 0.2305
Tl 0.0000 0.0000 0.7695
La 0.5000 0.5000 0.5000
Ho 0.5000 0.5000 0.0000


Crystalline La5HoTl4 at its relaxed geometry, computed with GGA-PBE.

Theoretical density ... 8.67 Mg/m³
Calculated formation energy ... -30 kJ/mol of atoms
Magnetization ... 0.00 Bohr magnetons per cell

Lattice parameters (Å, degrees): 3.7435 3.7435 22.9250 90.00 90.00 90.00
Atoms (fractional coordinates):
Tl 0.0000 0.0000 0.5981
Tl 0.0000 0.0000 0.2068
Tl 0.0000 0.0000 0.4019
Tl 0.0000 0.0000 0.7932
La 0.5000 0.5000 0.1105
La 0.5000 0.5000 0.8895
La 0.5000 0.5000 0.3044
La 0.5000 0.5000 0.5000
La 0.5000 0.5000 0.6956
Ho 0.0000 0.0000 0.0000